No. 1
# SbAuNO

SbAuNO after structural relaxation (GGA-PBE, the Open Quantum Materials Database).

The calculation puts the energy above the most stable polymorph in this dataset at 0.205 eV/atom.

It has space group Pca2_1 (No. 29), with a = 6.619 Å, b = 7.729 Å, c = 5.223 Å, α = 90.00°, β = 90.00° and γ = 90.00°. Symmetry generates all atoms from Sb at (0.057, 0.160, 0.000), Au at (0.075, 0.552, 0.038), N at (0.143, 0.649, 0.654) and O at (0.113, 0.022, 0.329).

No. 2
# SbAuNO

SbAuNO after structural relaxation (GGA-PBE, the Open Quantum Materials Database).

The calculation puts the energy above the most stable polymorph in this dataset at 0.000 eV/atom.

It has space group Pmc2_1 (No. 26), with a = 4.087 Å, b = 6.955 Å, c = 5.569 Å, α = 90.00°, β = 90.00° and γ = 90.00°. Symmetry generates all atoms from Sb at (0.000, 0.172, 0.000), Au at (0.500, 0.494, 0.715), N at (0.500, 0.275, 0.971) and O at (0.000, 0.081, 0.338).

No. 3
# SbAuNO

SbAuNO after structural relaxation (GGA-PBE, the Open Quantum Materials Database).

The calculation puts the energy above the most stable polymorph in this dataset at 0.504 eV/atom.

It has space group P4/nmm (No. 129, origin choice 2), with a = 4.924 Å, b = 4.924 Å, c = 4.580 Å, α = 90.00°, β = 90.00° and γ = 90.00°. Symmetry generates all atoms from Sb at (0.250, 0.750, 0.000), Au at (0.250, 0.250, 0.494), N at (0.250, 0.250, 0.994) and O at (0.250, 0.750, 0.500).

No. 4
# SbAuNO

SbAuNO after structural relaxation (GGA-PBE, the Open Quantum Materials Database).

The calculation puts the energy above the most stable polymorph in this dataset at 0.268 eV/atom.

It has space group Pmc2_1 (No. 26), with a = 3.873 Å, b = 5.967 Å, c = 5.587 Å, α = 90.00°, β = 90.00° and γ = 90.00°. Symmetry generates all atoms from Sb at (0.000, 0.197, 0.000), Au at (0.500, 0.242, 0.499), N at (0.000, 0.136, 0.374) and O at (0.500, 0.314, 0.957).

No. 5
# ScAuNO

ScAuNO after structural relaxation (GGA-PBE, the Open Quantum Materials Database).

The size of the total moment comes out at 0.00 μB/cell. The calculation puts the energy above the most stable polymorph in this dataset at 0.249 eV/atom.

It has space group P4/nmm (No. 129, origin choice 2), with a = 4.702 Å, b = 4.702 Å, c = 4.390 Å, α = 90.00°, β = 90.00° and γ = 90.00°. Symmetry generates all atoms from Sc at (0.250, 0.750, 0.000), Au at (0.250, 0.250, 0.499), N at (0.250, 0.250, 0.999) and O at (0.250, 0.750, 0.500).

No. 6
# ScAuNO

ScAuNO after structural relaxation (GGA-PBE, the Open Quantum Materials Database).

The size of the total moment comes out at 0.00 μB/cell. The calculation puts the energy above the most stable polymorph in this dataset at 0.000 eV/atom.

It has space group Pca2_1 (No. 29), with a = 5.463 Å, b = 7.397 Å, c = 5.332 Å, α = 90.00°, β = 90.00° and γ = 90.00°. Symmetry generates all atoms from Sc at (0.048, 0.117, 0.000), Au at (0.056, 0.459, 0.624), N at (0.156, 0.310, 0.293) and O at (0.248, 0.952, 0.241).

No. 7
# ScAuNO

ScAuNO after structural relaxation (GGA-PBE, the Open Quantum Materials Database).

The size of the total moment comes out at 0.00 μB/cell. The calculation puts the energy above the most stable polymorph in this dataset at 0.190 eV/atom.

It has space group Pbcm (No. 57), with a = 7.921 Å, b = 6.359 Å, c = 4.573 Å, α = 90.00°, β = 90.00° and γ = 90.00°. Symmetry generates all atoms from Sc at (0.126, 0.079, 0.250), Au at (0.359, 0.016, 0.750), N at (0.103, 0.089, 0.750) and O at (0.375, 0.503, 0.750).

No. 8
# ScAuNO

ScAuNO after structural relaxation (GGA-PBE, the Open Quantum Materials Database).

The size of the total moment comes out at 0.00 μB/cell. The calculation puts the energy above the most stable polymorph in this dataset at 0.103 eV/atom.

It has space group Pmc2_1 (No. 26), with a = 3.753 Å, b = 6.612 Å, c = 5.193 Å, α = 90.00°, β = 90.00° and γ = 90.00°. Symmetry generates all atoms from Sc at (0.000, 0.149, 0.000), Au at (0.500, 0.450, 0.571), N at (0.500, 0.272, 0.881) and O at (0.000, 0.128, 0.376).